No. 1
First-principles (PBE) data for a relaxed Rh2Se crystal, as listed in Alexandria.

## Properties
energy relative to the lowest polymorph listed for this composition	334	meV per atom

The structure in POSCAR format:
```
Rh2Se
1.0
-1.203 -2.390 1.317
2.561 1.135 1.023
-3.071 3.590 3.708
Rh Se
2 1
Direct
0.667 0.333 0.683 Rh
0.333 0.667 0.317 Rh
0.000 0.000 0.000 Se
```


No. 2
First-principles (PBE) data for a relaxed Rh3Se crystal, as listed in Alexandria.

## Properties
energy relative to the lowest polymorph listed for this composition	0	meV per atom

The structure in POSCAR format:
```
Rh3Se
1.0
-5.186 -1.193 0.569
-1.509 -3.394 3.853
2.323 4.633 -1.337
Rh Se
3 1
Direct
0.267 0.220 0.048 Rh
0.749 0.500 0.249 Rh
0.828 0.780 0.048 Rh
0.322 0.000 0.322 Se
```


No. 3
First-principles (PBE) data for a relaxed Rh3Se crystal, as listed in Alexandria.

## Properties
energy relative to the lowest polymorph listed for this composition	79	meV per atom

The structure in POSCAR format:
```
Rh3Se
1.0
4.991 -0.978 6.953
-0.199 -0.851 8.570
-2.547 -1.786 -8.033
Rh Se
6 2
Direct
0.500 0.000 0.500 Rh
0.883 0.883 0.000 Rh
0.250 0.750 0.500 Rh
0.117 0.117 0.000 Rh
0.750 0.250 0.500 Rh
0.000 0.500 0.500 Rh
0.644 0.644 0.000 Se
0.356 0.356 0.000 Se
```


No. 4
First-principles (PBE) data for a relaxed Rh3Se5 crystal, as listed in Alexandria.

The structure in POSCAR format:
```
Rh3Se5
1.0
7.978 0.000 0.000
-3.989 6.910 0.000
0.000 0.000 5.189
Se Rh
10 6
Direct
0.667 0.333 0.500 Se
0.333 0.667 0.000 Se
0.333 0.667 0.500 Se
0.000 0.726 0.750 Se
0.667 0.333 0.000 Se
0.274 0.274 0.750 Se
0.726 0.726 0.250 Se
0.726 0.000 0.750 Se
0.000 0.274 0.250 Se
0.274 0.000 0.250 Se
0.000 0.393 0.750 Rh
0.393 0.000 0.750 Rh
0.607 0.607 0.750 Rh
0.607 0.000 0.250 Rh
0.393 0.393 0.250 Rh
0.000 0.607 0.250 Rh
```


No. 5
First-principles (PBE) data for a relaxed RhSe3 crystal, as listed in Alexandria.

The structure in POSCAR format:
```
RhSe3
1.0
3.546 0.000 0.000
-1.773 3.071 0.000
0.000 0.000 7.366
Se Rh
3 1
Direct
0.667 0.333 0.789 Se
0.667 0.333 0.211 Se
0.000 0.000 0.500 Se
0.000 0.000 0.000 Rh
```


No. 6
First-principles (PBE) data for a relaxed Rh3Se crystal, as listed in Alexandria.

## Properties
energy relative to the lowest polymorph listed for this composition	102	meV per atom

The structure in POSCAR format:
```
Rh3Se
1.0
-7.168 -4.121 -2.070
-7.007 -4.798 0.725
-8.204 -2.307 -0.087
Rh Se
3 1
Direct
0.254 0.254 0.254 Rh
0.500 0.500 0.500 Rh
0.746 0.746 0.746 Rh
0.000 0.000 0.000 Se
```


No. 7
First-principles (PBE) data for a relaxed Rh5Se crystal, as listed in Alexandria.

The structure in POSCAR format:
```
Rh5Se
1.0
-4.261 3.442 -2.664
1.117 -3.358 4.958
1.409 3.150 1.815
Rh Se
5 1
Direct
0.164 0.836 0.000 Rh
0.669 0.331 0.500 Rh
0.331 0.669 0.500 Rh
0.836 0.164 0.000 Rh
0.000 0.000 0.500 Rh
0.500 0.500 0.000 Se
```


No. 8
First-principles (PBE) data for a relaxed Rh2Se crystal, as listed in Alexandria.

## Properties
energy relative to the lowest polymorph listed for this composition	175	meV per atom

The structure in POSCAR format:
```
Rh2Se
1.0
3.400 -5.888 0.000
3.400 5.888 0.000
0.000 0.000 3.451
Rh Se
6 3
Direct
0.698 0.698 0.000 Rh
0.358 0.358 0.500 Rh
0.000 0.302 0.000 Rh
0.302 0.000 0.000 Rh
0.000 0.642 0.500 Rh
0.642 0.000 0.500 Rh
0.667 0.333 0.000 Se
0.333 0.667 0.000 Se
0.000 0.000 0.500 Se
```


no.,spin magnetization (μB per cell),calculated total energy (eV for the cell shown)
1,0.00,-17.83
2,0.00,-25.30
3,0.00,-49.97
4,0.00,-77.80
5,0.00,-17.29
6,0.69,-24.89
7,0.00,-39.46
8,0.00,-54.93